Here is a relaxed PmSi3Tc4 crystal from Alexandria via LeMat-Bulk. Energies are from PBE.

```
PmSi3Tc4
1.0
4.143 0.000 0.000
0.000 4.143 0.000
0.000 0.000 7.862
Pm Si Tc
1 3 4
direct
0.000 0.000 0.000 Pm
0.000 0.000 0.500 Si
0.500 0.500 0.162 Si
0.500 0.500 0.838 Si
0.000 0.500 0.331 Tc
0.000 0.500 0.669 Tc
0.500 0.000 0.331 Tc
0.500 0.000 0.669 Tc
```

Calculated values
Calculated volume in Å³/cell: 134.9
E_form (uncorrected) in meV per atom: -348
Magnetization in μB/cell: 0.000
Electronic total energy in eV for the cell shown: -65.27
Space-group type: P4/mmm